Here is InSn2Cl6 after structural relaxation from Alexandria via LeMat-Bulk. Energies are from PBE.

The structure in extended XYZ format:
```
9
Lattice="5.324 0.000 0.000 2.662 6.806 -0.302 2.662 2.502 8.566" Properties=species:S:1:pos:R:3 pbc="T T T"
In 2.662 4.654 4.132
Sn 5.324 1.913 0.990
Sn 5.324 7.394 7.275
Cl 5.324 6.271 5.014
Cl 2.662 2.175 0.623
Cl 5.324 3.037 3.251
Cl 2.662 2.965 6.685
Cl 7.986 7.133 7.642
Cl 7.986 6.343 1.580
```

Values from the calculation:
* electronic total energy: -3.33 eV/atom
* raw formation energy: -8.11 eV/f.u.

=====

Here is In2SnCl8 after structural relaxation from Alexandria via LeMat-Bulk. Energies are from PBE.

The structure in extended XYZ format:
```
11
Lattice="6.651 -0.925 -0.646 -0.053 8.150 0.163 -0.053 2.958 7.596" Properties=species:S:1:pos:R:3 pbc="T T T"
Cl 4.567 8.466 5.914
Cl 1.456 5.727 0.690
Cl 5.089 7.565 1.974
Cl 1.338 6.755 4.718
Cl 5.207 3.429 2.395
Cl 1.456 2.618 5.139
Cl 5.089 4.457 6.424
Cl 1.978 1.718 1.200
In 2.136 8.550 5.972
In 4.409 1.633 1.141
Sn 0.000 0.000 0.000
```

Values from the calculation:
* electronic total energy: -3.23 eV/atom
* offset from the most stable computed form: 0.245 kcal/mol of atoms
* raw formation energy: -11.24 eV/f.u.

=====

Here is InSn2Cl5 after structural relaxation from Alexandria via LeMat-Bulk. Energies are from PBE.

The structure in extended XYZ format:
```
16
Lattice="-2.124 -0.330 5.227 -1.275 -5.624 -3.929 12.316 -6.024 4.624" Properties=species:S:1:pos:R:3 pbc="T T T"
Cl 9.706 -7.360 6.535
Cl 1.256 -1.280 0.429
Cl 5.343 -5.227 4.897
Cl 8.260 -6.936 2.919
Cl 4.463 -9.134 4.292
Cl -0.789 -4.618 -0.613
Cl 4.453 -2.844 1.630
Cl 7.661 -10.698 5.493
Cl 0.656 -5.041 3.003
Cl 3.573 -6.751 1.025
In 6.986 -10.092 2.201
In 1.930 -1.886 3.721
Sn 6.296 -5.121 2.235
Sn 2.621 -6.857 3.687
Sn -1.885 -4.653 1.995
Sn 10.801 -7.325 3.926
```

Values from the calculation:
* electronic total energy: -3.44 eV/atom
* offset from the most stable computed form: 0.370 kcal/mol of atoms
* raw formation energy: -7.58 eV/f.u.

=====

Here is In2Sn3Cl8 after structural relaxation from Alexandria via LeMat-Bulk. Energies are from PBE.

The structure in extended XYZ format:
```
13
Lattice="7.336 0.000 0.154 0.000 8.501 0.000 -2.779 -4.251 7.294" Properties=species:S:1:pos:R:3 pbc="T T T"
In 0.967 0.000 4.038
In 3.590 4.251 3.411
Cl 6.309 4.251 1.730
Cl 2.325 6.524 1.679
Cl 2.232 -2.273 5.770
Cl -1.463 4.251 5.715
Cl -1.752 0.000 5.719
Cl 2.232 2.273 5.770
Cl 2.325 1.977 1.679
Cl 6.020 0.000 1.733
Sn 0.000 2.205 0.000
Sn 0.000 6.296 0.000
Sn 3.668 0.000 0.077
```

Values from the calculation:
* electronic total energy: -3.42 eV/atom
* offset from the most stable computed form: 0.000 kcal/mol of atoms
* raw formation energy: -12.21 eV/f.u.